(1)
{
  "formula": "Al2V3Cr",
  "functional": "GGA-PBE",
  "state": "relaxed",
  "lattice_angstrom": [[4.980, 0.000, 0.000], [0.000, 4.365, 0.000], [0.000, 0.000, 15.346]],
  "species": ["Al", "Al", "Al", "Al", "Al", "Al", "Al", "Al", "V", "V", "V", "V", "V", "V", "V", "V", "V", "V", "V", "V", "Cr", "Cr", "Cr", "Cr"],
  "fractional_positions": [[0.182, 0.250, 0.101], [0.218, 0.250, 0.300], [0.282, 0.750, 0.800], [0.318, 0.750, 0.601], [0.682, 0.250, 0.399], [0.718, 0.250, 0.200], [0.782, 0.750, 0.700], [0.818, 0.750, 0.899], [0.015, 0.250, 0.630], [0.034, 0.750, 0.212], [0.159, 0.250, 0.481], [0.341, 0.750, 0.981], [0.466, 0.250, 0.712], [0.485, 0.750, 0.130], [0.515, 0.250, 0.870], [0.534, 0.750, 0.288], [0.659, 0.250, 0.019], [0.841, 0.750, 0.519], [0.966, 0.250, 0.788], [0.985, 0.750, 0.370], [0.088, 0.250, 0.936], [0.412, 0.750, 0.436], [0.588, 0.250, 0.564], [0.912, 0.750, 0.064]],
  "dos_ef_per_ev_atom": 0.74,
  "ef_mev_per_atom": -55,
  "vol_a3_per_fu": 83,
  "dft_energy_ev_per_atom": -7.465,
  "polymorph_energy_ev_per_atom": 0.075
}

***

(2)
{
  "formula": "Al2Cr2W",
  "functional": "GGA-PBE",
  "state": "relaxed",
  "lattice_angstrom": [[6.807, 0.000, 0.000], [0.000, 6.807, 0.000], [0.000, 0.000, 3.006]],
  "species": ["Al", "Al", "Al", "Al", "Cr", "Cr", "Cr", "Cr", "W", "W"],
  "fractional_positions": [[0.130, 0.370, 0.000], [0.370, 0.870, 0.000], [0.630, 0.130, 0.000], [0.870, 0.630, 0.000], [0.169, 0.669, 0.500], [0.331, 0.169, 0.500], [0.669, 0.831, 0.500], [0.831, 0.331, 0.500], [0.000, 0.000, 0.000], [0.500, 0.500, 0.000]],
  "dos_ef_per_ev_atom": 0.94,
  "ef_mev_per_atom": 195,
  "vol_a3_per_fu": 70,
  "dft_energy_ev_per_atom": -7.742
}

***

(3)
{
  "formula": "Al2CrW",
  "functional": "GGA-PBE",
  "state": "relaxed",
  "lattice_angstrom": [[0.000, 3.092, 3.092], [3.092, 0.000, 3.092], [3.092, 3.092, 0.000]],
  "species": ["Al", "Al", "Cr", "W"],
  "fractional_positions": [[0.250, 0.250, 0.250], [0.750, 0.750, 0.750], [0.000, 0.000, 0.000], [0.500, 0.500, 0.500]],
  "dos_ef_per_ev_atom": 1.13,
  "ef_mev_per_atom": 173,
  "vol_a3_per_fu": 59,
  "dft_energy_ev_per_atom": -7.343,
  "polymorph_energy_ev_per_atom": 0.281
}

***

(4)
{
  "formula": "AlCrW",
  "functional": "GGA-PBE",
  "state": "relaxed",
  "lattice_angstrom": [[-1.397, 1.397, 5.659], [1.397, -1.397, 5.659], [1.397, 1.397, -5.659]],
  "species": ["Al", "Cr", "W"],
  "fractional_positions": [[0.000, 0.000, 0.000], [0.341, 0.341, 0.000], [0.676, 0.676, 0.000]],
  "dos_ef_per_ev_atom": 0.79,
  "ef_mev_per_atom": 181,
  "vol_a3_per_fu": 44,
  "dft_energy_ev_per_atom": -8.592,
  "polymorph_energy_ev_per_atom": 0.220
}